The following is a PBE calculation of a relaxed YTlI2Cl crystal, from Alexandria via LeMat-Bulk.

a = 6.098 Å, b = 6.098 Å, c = 5.250 Å
α = 90.00°, β = 90.00°, γ = 90.00°
Positions (direct):
1 Y 0.000 0.000 0.000
2 Tl 0.500 0.500 0.500
3 I 0.000 0.500 0.000
4 I 0.500 0.000 0.000
5 Cl 0.000 0.000 0.500

Properties
Formation energy without anion corrections ... -1077 meV per atom
Calculated volume ... 39.05 Å³ per atom
Density ... 4.95 g/cm3
Symmetry ... P4/mmm, No. 123